A plane-wave DFT calculation with GGA-PBE was carried out for a geometry-optimized Ac4La2Mg structure.

ΔE_f   0.525 eV per atom

Cell and atoms, written as CIF:
```
data_Ac4La2Mg
_chemical_formula_sum 'Ac4 La2 Mg1'
_cell_length_a 5.1867
_cell_length_b 5.1867
_cell_length_c 11.8845
_cell_angle_alpha 90.00
_cell_angle_beta 90.00
_cell_angle_gamma 90.00
_space_group_name_H-M_alt 'P -4 2 m'
_space_group_IT_number 111
loop_
_space_group_symop_operation_xyz
'x,y,z'
'y,-x,-z'
'-x,-y,z'
'-y,x,-z'
'x,-y,-z'
'y,x,z'
'-x,y,-z'
'-y,-x,z'
loop_
_atom_site_label
_atom_site_fract_x
_atom_site_fract_y
_atom_site_fract_z
Ac1 0.2417 0.2417 0.2344
La1 0.0000 0.5000 0.5000
Mg1 0.5000 0.5000 0.0000
```

=====

A plane-wave DFT calculation with GGA-PBE was carried out for a geometry-optimized VRh2W structure.

ΔE_f   0.102 eV per atom
ΔE to the lowest computed polymorph   0.3603 eV/atom

Cell and atoms, written as CIF:
```
data_VRh2W
_chemical_formula_sum 'V4 Rh8 W4'
_cell_length_a 6.2022
_cell_length_b 6.2022
_cell_length_c 6.2022
_cell_angle_alpha 90.00
_cell_angle_beta 90.00
_cell_angle_gamma 90.00
_space_group_name_H-M_alt 'F m -3 m'
_space_group_IT_number 225
_space_group_name_Hall '-F 4 2 3'
loop_
_atom_site_label
_atom_site_fract_x
_atom_site_fract_y
_atom_site_fract_z
V1 0.0000 0.0000 0.0000
Rh1 0.2500 0.2500 0.2500
W1 0.0000 0.0000 0.5000
```

=====

A plane-wave DFT calculation with GGA-PBE was carried out for a geometry-optimized RbCu3W structure.

ΔE_f   1.214 eV per atom
ΔE to the lowest computed polymorph   0.0000 eV/atom

Cell and atoms, written as CIF:
```
data_RbCu3W
_chemical_formula_sum 'Rb1 Cu3 W1'
_cell_length_a 4.9322
_cell_length_b 4.9322
_cell_length_c 4.9322
_cell_angle_alpha 90.00
_cell_angle_beta 90.00
_cell_angle_gamma 90.00
_space_group_name_H-M_alt 'P m -3 m'
_space_group_IT_number 221
_space_group_name_Hall '-P 4 2 3'
loop_
_atom_site_label
_atom_site_fract_x
_atom_site_fract_y
_atom_site_fract_z
Rb1 0.0000 0.0000 0.0000
Cu1 0.0000 0.5000 0.5000
W1 0.5000 0.5000 0.5000
```

=====

A plane-wave DFT calculation with GGA-PBE was carried out for a geometry-optimized Tb6Pr2Dy3 structure.

ΔE_f   0.268 eV per atom
ΔE to the lowest computed polymorph   0.0907 eV/atom

Cell and atoms, written as CIF:
```
data_Tb6Pr2Dy3
_chemical_formula_sum 'Tb12 Pr4 Dy6'
_cell_length_a 4.7545
_cell_length_b 4.7545
_cell_length_c 33.5124
_cell_angle_alpha 90.00
_cell_angle_beta 90.00
_cell_angle_gamma 90.00
_space_group_name_H-M_alt 'I 4/m m m'
_space_group_IT_number 139
_space_group_name_Hall '-I 4 2'
loop_
_atom_site_label
_atom_site_fract_x
_atom_site_fract_y
_atom_site_fract_z
Tb1 0.0000 0.0000 0.1967
Tb2 0.0000 0.5000 0.1226
Pr1 0.0000 0.0000 0.0463
Dy1 0.0000 0.0000 0.2989
Dy2 0.0000 0.0000 0.5000
```

=====

A plane-wave DFT calculation with GGA-PBE was carried out for a geometry-optimized TlPRuO2 structure.

Energy relative to the elements, uncorrected   -347 meV/atom
ΔE to the lowest computed polymorph   0.0000 eV/atom

Cell and atoms, written as CIF:
```
data_TlPRuO2
_chemical_formula_sum 'Tl1 P1 Ru1 O2'
_cell_length_a 3.8563
_cell_length_b 3.8563
_cell_length_c 5.2270
_cell_angle_alpha 90.00
_cell_angle_beta 90.00
_cell_angle_gamma 90.00
_space_group_name_H-M_alt 'P 4/m m m'
_space_group_IT_number 123
_space_group_name_Hall '-P 4 2'
loop_
_atom_site_label
_atom_site_fract_x
_atom_site_fract_y
_atom_site_fract_z
Tl1 0.0000 0.0000 0.0000
P1 0.5000 0.5000 0.0000
Ru1 0.5000 0.5000 0.5000
O1 0.0000 0.5000 0.5000
```

=====

A plane-wave DFT calculation with GGA-PBE was carried out for a geometry-optimized Np2ZnIr structure.

ΔE_f   -0.001 eV per atom

Cell and atoms, written as CIF:
```
data_Np2ZnIr
_chemical_formula_sum 'Np2 Zn1 Ir1'
_cell_length_a 4.1304
_cell_length_b 4.1304
_cell_length_c 4.3760
_cell_angle_alpha 90.00
_cell_angle_beta 90.00
_cell_angle_gamma 90.00
_space_group_name_H-M_alt 'P 4/m m m'
_space_group_IT_number 123
_space_group_name_Hall '-P 4 2'
loop_
_atom_site_label
_atom_site_fract_x
_atom_site_fract_y
_atom_site_fract_z
Np1 0.0000 0.5000 0.0000
Zn1 0.0000 0.0000 0.5000
Ir1 0.5000 0.5000 0.5000
```

=====

Asked for raw total energy across the records above, the calculation gives -3.4587, -9.0914, -4.0279, -4.3816, -5.7403, -9.0051 eV per atom in order.
Asked for spin magnetization across the records above, the calculation gives 0.01, 10.49, 0.00, 0.00, 0.81, 6.72 μB/cell in order.